Entry 1:
Computed, not measured: an optimized crystal structure of As3RuN at the PBEsol level of DFT.

a b c (Å): 4.6455 4.6455 4.6455
angles (deg): 90.00 90.00 90.00
Fractional positions:
As 0.0000 0.0000 0.5000
As 0.0000 0.5000 0.0000
As 0.5000 0.0000 0.0000
Ru 0.0000 0.0000 0.0000
N 0.5000 0.5000 0.5000

Values from the calculation:
Magnetic moment = 0.4 μB per formula unit
Excess energy over the best structure of this formula in the dataset = 0.761 eV/atom
Final energy = -26.458 eV per cell
Crystal system = cubic

=====

Entry 2:
Computed, not measured: an optimized crystal structure of YTeRh2 at the PBEsol level of DFT.

a b c (Å): 4.3692 4.3692 3.7809
angles (deg): 90.00 90.00 90.00
Fractional positions:
Y 0.0000 0.0000 0.0000
Te 0.5000 0.5000 0.0000
Rh 0.0000 0.5000 0.5000
Rh 0.5000 0.0000 0.5000

Values from the calculation:
Magnetic moment = 0.0 μB per formula unit
Excess energy over the best structure of this formula in the dataset = 0.000 eV/atom
Final energy = -29.054 eV per cell
Crystal system = tetragonal

=====

no.,E_form (uncorrected) (eV/atom)
1,1.512
2,-0.607